Below is a geometry-optimized Cs8K2Rb structure, with properties calculated at the GGA-PBE level.

```
Cs8K2Rb
1.0
7.677 0.000 0.000
0.000 11.844 0.561
-3.838 -4.476 12.435
Cs K Rb
8 2 1
Direct
0.600 0.461 0.200
0.047 0.734 0.095
0.953 0.266 0.905
0.317 0.080 0.635
0.856 0.797 0.713
0.683 0.920 0.365
0.144 0.203 0.287
0.400 0.539 0.800
0.226 0.636 0.452
0.774 0.364 0.548
0.500 0.000 0.000
```

Properties
Space group: No. 12
Energy of formation (eV per atom): 0.004